Computed, not measured: BeHgTeO after structural relaxation at the PBE level of DFT.

Properties
Energy above the lowest structure with this stoichiometry (meV/atom): 780.9
Theoretical density (g/cm3): 7.59
Total energy (eV per atom): -3.34
Symmetry: P4/nmm, No. 129

Unit cell a=4.0724 b=4.0724 c=9.3201 alpha=90.00 beta=90.00 gamma=90.00
Fractional positions:
Be: 0.2500 0.2500 0.1699
Be: 0.7500 0.7500 0.8301
Hg: 0.2500 0.7500 0.5000
Hg: 0.7500 0.2500 0.5000
Te: 0.2500 0.2500 0.8086
Te: 0.7500 0.7500 0.1914
O: 0.2500 0.2500 0.0167
O: 0.7500 0.7500 0.9833